The following is a DFT calculation (PBE with a Hubbard U) of a geometry-optimized NdMn2SbO6 structure.

Properties
Magnetization in μB/f.u.: 8.00
Volume in Å³ per cell: 124.5
Uncorrected energy in eV/atom: -7.28

Cell lengths 5.5594, 5.5610, 5.5624 Å; angles 61.07, 61.06, 61.06 degrees
Element x y z (fractional)
1 Nd 0.0000 0.0000 0.0000
2 Mn 0.2371 0.2384 0.2371
3 Mn 0.7419 0.7432 0.7415
4 Sb 0.5234 0.5248 0.5247
5 O 0.0583 0.4878 0.9043
6 O 0.4074 0.9375 0.5779
7 O 0.4840 0.9067 0.0571
8 O 0.5786 0.4082 0.9364
9 O 0.9047 0.0593 0.4838
10 O 0.9370 0.5789 0.4075